Record 1
A plane-wave DFT calculation with GGA-PBE was carried out for a relaxed Ho2PuTc crystal.

Computed properties:
ΔE to the lowest computed polymorph   168.2 meV per atom
Calculated formation energy   71.7 meV per atom
Volume   100.47 Å³/f.u.
Raw total energy   -33.6 eV for the cell shown
M_tot   7.1 μB per formula unit

a b c (Å): 3.4210 3.4210 8.5852
angles (deg): 90.00 90.00 90.00
Closest atoms and distances in Å follow each position.
Fractional coordinates of all 4 atoms:
Ho1 0.0000 0.0000 0.1916  4 Tc 2.93
Ho2 0.0000 0.0000 0.8084  4 Tc 2.93
Pu1 0.5000 0.5000 0.5000  4 Pu 3.42, 8 Ho 3.59
Tc1 0.5000 0.5000 0.0000  8 Ho 2.93


Record 2
A plane-wave DFT calculation with GGA-PBE was carried out for a relaxed HoPuTlTc crystal.

Computed properties:
Calculated formation energy   -95.3 meV per atom
Volume   93.90 Å³/f.u.
Raw total energy   -32.0 eV for the cell shown
M_tot   4.4 μB per formula unit

a b c (Å): 3.3212 3.3212 8.5124
angles (deg): 90.00 90.00 90.00
Closest atoms and distances in Å follow each position.
Fractional coordinates of all 4 atoms:
Ho1 0.0000 0.0000 0.0000  4 Tc 2.98, 4 Ho 3.32
Pu1 0.0000 0.0000 0.5911  4 Tc 2.87
Tl1 0.5000 0.5000 0.2944  4 Tl 3.32, 4 Ho 3.43, 4 Pu 3.45
Tc1 0.5000 0.5000 0.7853  4 Pu 2.87, 4 Ho 2.98


Record 3
A plane-wave DFT calculation with GGA-PBE was carried out for a relaxed Ho4Pu3Te8 crystal.

Computed properties:
Volume   472.27 Å³/f.u.
Raw total energy   -105.2 eV for the cell shown
M_tot   17.7 μB per formula unit
Formation energy without anion corrections   -1.2528 eV/atom

a b c (Å): 8.7326 8.7326 8.7280
angles (deg): 119.85 119.85 90.12
Closest atoms and distances in Å follow each position.
Fractional coordinates of all 15 atoms:
Ho1 0.0000 0.0000 0.0000  6 Te 3.11-3.12
Ho2 0.0000 0.0000 0.5000  6 Te 3.05-3.07
Ho3 0.0000 0.5000 0.0000  6 Te 3.08-3.10
Ho4 0.5000 0.0000 0.0000  6 Te 3.08-3.10
Pu1 0.0000 0.5000 0.5000  6 Te 3.08-3.10
Pu2 0.5000 0.0000 0.5000  6 Te 3.08-3.10
Pu3 0.5000 0.5000 0.5000  6 Te 3.11-3.13
Te1 0.2482 0.7518 0.5000  3 Ho 3.07-3.10, 3 Pu 3.08-3.11
Te2 0.2489 0.2489 0.5026  2 Ho 3.05-3.11, 3 Pu 3.09-3.11
Te3 0.2502 0.2502 0.9939  4 Ho 3.06-3.12, 1 Pu 3.13
Te4 0.2524 0.7476 0.0000  3 Ho 3.08-3.12, 2 Pu 3.10
Te5 0.7476 0.2524 0.0000  3 Ho 3.08-3.12, 2 Pu 3.10
Te6 0.7498 0.7498 0.0061  4 Ho 3.06-3.12, 1 Pu 3.13
Te7 0.7511 0.7511 0.4974  2 Ho 3.05-3.11, 3 Pu 3.09-3.11
Te8 0.7518 0.2482 0.5000  3 Ho 3.07-3.10, 3 Pu 3.08-3.11


Record 4
A plane-wave DFT calculation with GGA-PBE was carried out for a relaxed Ho2PuTe4 crystal.

Computed properties:
ΔE to the lowest computed polymorph   19.5 meV per atom
Volume   202.81 Å³/f.u.
Raw total energy   -89.5 eV for the cell shown
M_tot   6.0 μB per formula unit
Formation energy without anion corrections   -1.2388 eV/atom

a b c (Å): 8.0773 8.0773 8.0773
angles (deg): 109.09 109.09 110.23
Closest atoms and distances in Å follow each position.
Fractional coordinates of all 14 atoms:
Ho1 0.0045 0.6250 0.8795  8 Te 3.08-3.35
Ho2 0.3750 0.2545 0.3795  8 Te 3.08-3.35
Ho3 0.7455 0.1250 0.1205  8 Te 3.08-3.35
Ho4 0.8750 0.9955 0.6205  8 Te 3.08-3.35
Pu1 0.2500 0.7500 0.5000  8 Te 3.17-3.34
Pu2 0.5000 0.5000 0.0000  8 Te 3.17-3.34
Te1 0.1193 0.3702 0.6002  4 Ho 3.08-3.35, 2 Pu 3.17-3.34
Te2 0.1202 0.3693 0.1002  4 Ho 3.08-3.35, 2 Pu 3.17-3.34
Te3 0.2691 0.0200 0.8998  4 Ho 3.08-3.35, 2 Pu 3.17-3.34
Te4 0.4809 0.8807 0.2509  4 Ho 3.08-3.35, 2 Pu 3.17-3.34
Te5 0.6298 0.2300 0.7491  4 Ho 3.08-3.35, 2 Pu 3.17-3.34
Te6 0.6307 0.7309 0.7509  4 Ho 3.08-3.35, 2 Pu 3.17-3.34
Te7 0.7700 0.5191 0.3998  4 Ho 3.08-3.35, 2 Pu 3.17-3.34
Te8 0.9800 0.8798 0.2491  4 Ho 3.08-3.35, 2 Pu 3.17-3.34


Record 5
A plane-wave DFT calculation with GGA-PBE was carried out for a relaxed Ho3Pu5Te8 crystal.

Computed properties:
Volume   479.96 Å³/f.u.
Raw total energy   -129.2 eV for the cell shown
M_tot   17.8 μB per formula unit
Formation energy without anion corrections   -1.1643 eV/atom

a b c (Å): 8.7739 8.7739 8.7739
angles (deg): 60.22 60.22 60.22
Closest atoms and distances in Å follow each position.
Fractional coordinates of all 16 atoms:
Ho1 0.0000 0.5000 0.5000  6 Te 3.08
Ho2 0.5000 0.0000 0.5000  6 Te 3.08
Ho3 0.5000 0.5000 0.0000  6 Te 3.08
Pu1 0.0000 0.0000 0.0000  6 Te 3.10
Pu2 0.0000 0.0000 0.5000  6 Te 3.13-3.14
Pu3 0.0000 0.5000 0.0000  6 Te 3.13-3.14
Pu4 0.5000 0.0000 0.0000  6 Te 3.13-3.14
Pu5 0.5000 0.5000 0.5000  6 Te 3.11
Te1 0.2497 0.2497 0.7457  2 Ho 3.08, 4 Pu 3.10-3.14
Te2 0.2497 0.7457 0.2497  2 Ho 3.08, 4 Pu 3.10-3.14
Te3 0.2521 0.2521 0.2521  3 Ho 3.08, 3 Pu 3.13
Te4 0.2543 0.7503 0.7503  2 Ho 3.08, 4 Pu 3.10-3.14
Te5 0.7457 0.2497 0.2497  2 Ho 3.08, 4 Pu 3.10-3.14
Te6 0.7479 0.7479 0.7479  3 Ho 3.08, 3 Pu 3.13
Te7 0.7503 0.2543 0.7503  2 Ho 3.08, 4 Pu 3.10-3.14
Te8 0.7503 0.7503 0.2543  2 Ho 3.08, 4 Pu 3.10-3.14


Record 6
A plane-wave DFT calculation with GGA-PBE was carried out for a relaxed Ho3PuTe4 crystal.

Computed properties:
Volume   233.89 Å³/f.u.
Raw total energy   -100.9 eV for the cell shown
M_tot   6.1 μB per formula unit
Formation energy without anion corrections   -1.2284 eV/atom

a b c (Å): 6.1591 6.1591 12.3314
angles (deg): 90.00 90.00 90.00
Closest atoms and distances in Å follow each position.
Fractional coordinates of all 16 atoms:
Ho1 0.0000 0.0000 0.0000  6 Te 3.06-3.08
Ho2 0.0000 0.5000 0.2500  6 Te 3.08
Ho3 0.0000 0.5000 0.7500  6 Te 3.08
Ho4 0.5000 0.0000 0.2500  6 Te 3.08
Ho5 0.5000 0.0000 0.7500  6 Te 3.08
Ho6 0.5000 0.5000 0.5000  6 Te 3.06-3.08
Pu1 0.0000 0.0000 0.5000  6 Te 3.08-3.11
Pu2 0.5000 0.5000 0.0000  6 Te 3.08-3.11
Te1 0.0000 0.0000 0.2478  5 Ho 3.06-3.08, 1 Pu 3.11
Te2 0.0000 0.0000 0.7522  5 Ho 3.06-3.08, 1 Pu 3.11
Te3 0.0000 0.5000 0.0000  4 Ho 3.08, 2 Pu 3.08
Te4 0.0000 0.5000 0.5000  4 Ho 3.08, 2 Pu 3.08
Te5 0.5000 0.0000 0.0000  4 Ho 3.08, 2 Pu 3.08
Te6 0.5000 0.0000 0.5000  4 Ho 3.08, 2 Pu 3.08
Te7 0.5000 0.5000 0.2522  5 Ho 3.06-3.08, 1 Pu 3.11
Te8 0.5000 0.5000 0.7478  5 Ho 3.06-3.08, 1 Pu 3.11


Record 7
A plane-wave DFT calculation with GGA-PBE was carried out for a relaxed HoPu5Te6 crystal.

Computed properties:
Volume   366.21 Å³/f.u.
Raw total energy   -108.6 eV for the cell shown
M_tot   29.6 μB per formula unit
Formation energy without anion corrections   -1.1244 eV/atom

a b c (Å): 7.6556 7.6556 7.6561
angles (deg): 99.60 99.60 120.03
Closest atoms and distances in Å follow each position.
Fractional coordinates of all 12 atoms:
Ho1 0.0000 0.0000 0.0000  6 Te 3.09-3.10
Pu1 0.1684 0.8316 0.5000  6 Te 3.13-3.14
Pu2 0.3340 0.6660 0.0000  6 Te 3.13
Pu3 0.5000 0.5000 0.5000  6 Te 3.13-3.15
Pu4 0.6660 0.3340 0.0000  6 Te 3.13
Pu5 0.8316 0.1684 0.5000  6 Te 3.13-3.14
Te1 0.0821 0.4121 0.2471  1 Ho 3.09, 5 Pu 3.13-3.14
Te2 0.2464 0.2464 0.7505  1 Ho 3.10, 5 Pu 3.13-3.15
Te3 0.4121 0.0821 0.2471  1 Ho 3.09, 5 Pu 3.13-3.14
Te4 0.5879 0.9179 0.7529  1 Ho 3.09, 5 Pu 3.13-3.14
Te5 0.7536 0.7536 0.2495  1 Ho 3.10, 5 Pu 3.13-3.15
Te6 0.9179 0.5879 0.7529  1 Ho 3.09, 5 Pu 3.13-3.14


Record 8
A plane-wave DFT calculation with GGA-PBE was carried out for a relaxed Ho4PuTe5 crystal.

Computed properties:
ΔE to the lowest computed polymorph   11.5 meV per atom
Volume   291.84 Å³/f.u.
Raw total energy   -60.6 eV for the cell shown
M_tot   6.1 μB per formula unit
Formation energy without anion corrections   -1.2241 eV/atom

a b c (Å): 15.6871 15.6871 15.6871
angles (deg): 164.04 164.04 22.65
Closest atoms and distances in Å follow each position.
Fractional coordinates of all 10 atoms:
Ho1 0.0986 0.0986 0.0000  6 Te 3.03-3.08
Ho2 0.2977 0.2977 0.0000  6 Te 3.05-3.08
Ho3 0.7023 0.7023 0.0000  6 Te 3.05-3.08
Ho4 0.9014 0.9014 0.0000  6 Te 3.03-3.08
Pu1 0.5000 0.5000 0.0000  6 Te 3.08-3.14
Te1 0.0000 0.0000 0.0000  2 Ho 3.03, 4 Pu 3.08
Te2 0.1985 0.1985 0.0000  6 Ho 3.05-3.08
Te3 0.3978 0.3978 0.0000  5 Ho 3.08, 1 Pu 3.14
Te4 0.6022 0.6022 0.0000  5 Ho 3.08, 1 Pu 3.14
Te5 0.8015 0.8015 0.0000  6 Ho 3.05-3.08


Record 9
A plane-wave DFT calculation with GGA-PBE was carried out for a relaxed Ho3Pu2Te8 crystal.

Computed properties:
Volume   474.93 Å³/f.u.
Raw total energy   -81.7 eV for the cell shown
M_tot   9.0 μB per formula unit
Formation energy without anion corrections   -1.0863 eV/atom

a b c (Å): 8.9246 8.9246 7.4457
angles (deg): 105.78 105.78 57.39
Closest atoms and distances in Å follow each position.
Fractional coordinates of all 13 atoms:
Ho1 0.0000 0.0000 0.0000  6 Te 3.05-3.06
Ho2 0.2537 0.7463 0.5000  6 Te 3.02-3.08
Ho3 0.7463 0.2537 0.5000  6 Te 3.02-3.08
Pu1 0.2511 0.2511 0.8302  6 Te 3.06-3.16
Pu2 0.7489 0.7489 0.1698  6 Te 3.06-3.16
Te1 0.1205 0.1205 0.4121  3 Ho 3.06-3.08, 1 Pu 3.15
Te2 0.1300 0.6306 0.0886  2 Ho 3.05-3.06, 2 Pu 3.15-3.16
Te3 0.3694 0.8700 0.9114  2 Ho 3.05-3.06, 2 Pu 3.15-3.16
Te4 0.3884 0.3884 0.6140  2 Ho 3.02, 1 Pu 3.06
Te5 0.6116 0.6116 0.3860  2 Ho 3.02, 1 Pu 3.06
Te6 0.6306 0.1300 0.0886  2 Ho 3.05-3.06, 2 Pu 3.15-3.16
Te7 0.8700 0.3694 0.9114  2 Ho 3.05-3.06, 2 Pu 3.15-3.16
Te8 0.8795 0.8795 0.5879  3 Ho 3.06-3.08, 1 Pu 3.15


Record 10
A plane-wave DFT calculation with GGA-PBE was carried out for a relaxed HoPuTe crystal.

Computed properties:
ΔE to the lowest computed polymorph   0.0 meV per atom
Volume   79.83 Å³/f.u.
Raw total energy   -48.6 eV for the cell shown
M_tot   5.8 μB per formula unit
Formation energy without anion corrections   -0.7427 eV/atom

a b c (Å): 4.2402 4.2402 8.8808
angles (deg): 90.00 90.00 90.00
Closest atoms and distances in Å follow each position.
Fractional coordinates of all 6 atoms:
Ho1 0.2500 0.2500 0.1322  5 Te 3.08-3.09
Ho2 0.7500 0.7500 0.8678  5 Te 3.08-3.09
Pu1 0.2500 0.7500 0.5000  4 Pu 3.00, 4 Te 3.30
Pu2 0.7500 0.2500 0.5000  4 Pu 3.00, 4 Te 3.30
Te1 0.2500 0.2500 0.7852  5 Ho 3.08-3.09, 4 Pu 3.30
Te2 0.7500 0.7500 0.2148  5 Ho 3.08-3.09, 4 Pu 3.30


Record 11
A plane-wave DFT calculation with GGA-PBE was carried out for a relaxed HoPuTe crystal.

Computed properties:
ΔE to the lowest computed polymorph   374.6 meV per atom
Volume   88.09 Å³/f.u.
Raw total energy   -23.2 eV for the cell shown
M_tot   6.3 μB per formula unit
Formation energy without anion corrections   -0.3681 eV/atom

a b c (Å): 5.1598 5.1598 3.8206
angles (deg): 90.00 90.00 120.00
Closest atoms and distances in Å follow each position.
Fractional coordinates of all 3 atoms:
Ho1 0.0000 0.0000 0.0000  3 Te 2.98
Pu1 0.6667 0.3333 0.5000  6 Ho 3.54, 6 Te 3.54, 2 Pu 3.82
Te1 0.3333 0.6667 0.0000  3 Ho 2.98


Record 12
A plane-wave DFT calculation with GGA-PBE was carried out for a relaxed HoPu3Te4 crystal.

Computed properties:
Volume   242.39 Å³/f.u.
Raw total energy   -138.6 eV for the cell shown
M_tot   17.8 μB per formula unit
Formation energy without anion corrections   -1.1453 eV/atom

a b c (Å): 8.8294 12.4655 4.4046
angles (deg): 90.00 90.00 90.00
Closest atoms and distances in Å follow each position.
Fractional coordinates of all 16 atoms:
Ho1 0.0000 0.0000 0.0000  6 Te 3.09
Ho2 0.5000 0.5000 0.0000  6 Te 3.09
Pu1 0.0000 0.5000 0.0000  6 Te 3.14-3.15
Pu2 0.2500 0.2500 0.5000  6 Te 3.12
Pu3 0.2500 0.7500 0.5000  6 Te 3.12
Pu4 0.5000 0.0000 0.0000  6 Te 3.14-3.15
Pu5 0.7500 0.2500 0.5000  6 Te 3.12
Pu6 0.7500 0.7500 0.5000  6 Te 3.12
Te1 0.0000 0.2479 0.0000  1 Ho 3.09, 5 Pu 3.12-3.14
Te2 0.0000 0.7521 0.0000  1 Ho 3.09, 5 Pu 3.12-3.14
Te3 0.2456 0.0000 0.5000  2 Ho 3.09, 4 Pu 3.12-3.15
Te4 0.2544 0.5000 0.5000  2 Ho 3.09, 4 Pu 3.12-3.15
Te5 0.5000 0.2521 0.0000  1 Ho 3.09, 5 Pu 3.12-3.14
Te6 0.5000 0.7479 0.0000  1 Ho 3.09, 5 Pu 3.12-3.14
Te7 0.7456 0.5000 0.5000  2 Ho 3.09, 4 Pu 3.12-3.15
Te8 0.7544 0.0000 0.5000  2 Ho 3.09, 4 Pu 3.12-3.15


What did the third record say?
A plane-wave DFT calculation with GGA-PBE was carried out for a relaxed Ho4Pu3Te8 crystal.

Computed properties:
Volume   472.27 Å³/f.u.
Raw total energy   -105.2 eV for the cell shown
M_tot   17.7 μB per formula unit
Formation energy without anion corrections   -1.2528 eV/atom

a b c (Å): 8.7326 8.7326 8.7280
angles (deg): 119.85 119.85 90.12
Closest atoms and distances in Å follow each position.
Fractional coordinates of all 15 atoms:
Ho1 0.0000 0.0000 0.0000  6 Te 3.11-3.12
Ho2 0.0000 0.0000 0.5000  6 Te 3.05-3.07
Ho3 0.0000 0.5000 0.0000  6 Te 3.08-3.10
Ho4 0.5000 0.0000 0.0000  6 Te 3.08-3.10
Pu1 0.0000 0.5000 0.5000  6 Te 3.08-3.10
Pu2 0.5000 0.0000 0.5000  6 Te 3.08-3.10
Pu3 0.5000 0.5000 0.5000  6 Te 3.11-3.13
Te1 0.2482 0.7518 0.5000  3 Ho 3.07-3.10, 3 Pu 3.08-3.11
Te2 0.2489 0.2489 0.5026  2 Ho 3.05-3.11, 3 Pu 3.09-3.11
Te3 0.2502 0.2502 0.9939  4 Ho 3.06-3.12, 1 Pu 3.13
Te4 0.2524 0.7476 0.0000  3 Ho 3.08-3.12, 2 Pu 3.10
Te5 0.7476 0.2524 0.0000  3 Ho 3.08-3.12, 2 Pu 3.10
Te6 0.7498 0.7498 0.0061  4 Ho 3.06-3.12, 1 Pu 3.13
Te7 0.7511 0.7511 0.4974  2 Ho 3.05-3.11, 3 Pu 3.09-3.11
Te8 0.7518 0.2482 0.5000  3 Ho 3.07-3.10, 3 Pu 3.08-3.11